VASP calculation (PBE with a Hubbard U) on crystalline YVP2O at its relaxed geometry.

The structure in CIF format:
```
data_YVP2O
_cell_length_a 4.769
_cell_length_b 4.769
_cell_length_c 3.696
_cell_angle_alpha 90.00
_cell_angle_beta 90.00
_cell_angle_gamma 90.00
_space_group_name_H-M_alt 'P 1'
_space_group_IT_number 1
_space_group_name_Hall 'P 1'
loop_
_atom_site_label
_atom_site_type_symbol
_atom_site_fract_x
_atom_site_fract_y
_atom_site_fract_z
Y1 Y 0.000 0.000 0.000
V1 V 0.500 0.500 0.500
P1 P 0.000 0.500 0.500
P2 P 0.500 0.000 0.500
O1 O 0.500 0.500 0.000
```

Values from the calculation:
**Energy**: -6.753 eV per atom
**ΔE to the lowest computed polymorph**: 0.0 meV/atom
**Volume**: 84 Å³/f.u.
**Total moment**: 0.0 μB per formula unit
**Space group**: No. 123